Record 1
A geometry-optimized Pr2AgSn3Pd4 structure, computed with GGA-PBE.

Cell and atoms, written as POSCAR:
```
Pr2AgSn3Pd4
1.0
4.5108 0.0000 0.0000
0.0000 4.5108 0.0000
0.0000 0.0000 11.0376
Pr Ag Sn Pd
2 1 3 4
Cartesian
0.0000 2.2554 2.7245 Pr
2.2554 0.0000 8.3131 Pr
2.2554 2.2554 0.0000 Ag
0.0000 0.0000 0.0000 Sn
0.0000 2.2554 6.9314 Sn
2.2554 0.0000 4.1062 Sn
0.0000 0.0000 5.5188 Pd
0.0000 2.2554 9.5185 Pd
2.2554 0.0000 1.5191 Pd
2.2554 2.2554 5.5188 Pd
```

Calculated formation energy ... -0.68 eV per atom
Crystal system ... tetragonal
Calculated density ... 8.66 g/cm³

---

Record 2
A geometry-optimized Pr2Ag2SnPd5 structure, computed with GGA-PBE.

Cell and atoms, written as POSCAR:
```
Pr2Ag2SnPd5
1.0
10.0700 0.0000 0.0000
0.0000 10.0700 0.0000
0.0000 0.0000 3.9641
Pr Ag Sn Pd
4 4 2 10
Cartesian
1.7287 3.3063 0.0000 Pr
3.3063 8.3413 0.0000 Pr
6.7637 1.7287 0.0000 Pr
8.3413 6.7637 0.0000 Pr
1.2770 6.3120 0.0000 Ag
3.7580 1.2770 0.0000 Ag
6.3120 8.7930 0.0000 Ag
8.7930 3.7580 0.0000 Ag
0.0000 0.0000 0.0000 Sn
5.0350 5.0350 0.0000 Sn
0.0000 5.0350 1.9820 Pd
0.5480 8.0665 1.9820 Pd
2.0036 0.5480 1.9820 Pd
3.0314 5.5830 1.9820 Pd
4.4871 3.0314 1.9820 Pd
5.0350 0.0000 1.9820 Pd
5.5830 7.0386 1.9820 Pd
7.0386 4.4871 1.9820 Pd
8.0665 9.5221 1.9820 Pd
9.5221 2.0036 1.9820 Pd
```

Calculated formation energy ... -0.53 eV per atom
Crystal system ... tetragonal
Calculated density ... 9.49 g/cm³

---

Record 3
A geometry-optimized SrPrAgPd structure, computed with GGA-PBE.

Cell and atoms, written as POSCAR:
```
SrPrAgPd
1.0
4.5817 0.0000 0.0000
0.0000 4.1484 0.0000
0.0000 0.0000 11.7634
Sr Pr Ag Pd
2 2 2 2
Cartesian
0.0000 0.0000 0.0000 Sr
0.0000 2.0742 5.8817 Sr
2.2908 0.0000 8.4999 Pr
2.2908 2.0742 2.6182 Pr
2.2908 0.0000 5.0518 Ag
2.2908 2.0742 10.9335 Ag
0.0000 0.0000 3.1959 Pd
0.0000 2.0742 9.0776 Pd
```

Calculated formation energy ... -0.46 eV per atom
Crystal system ... orthorhombic
Calculated density ... 6.58 g/cm³

---

Record 4
A geometry-optimized SrPrAgPd structure, computed with GGA-PBE.

Cell and atoms, written as POSCAR:
```
SrPrAgPd
1.0
7.5075 0.0000 0.0000
0.0000 7.5075 0.0000
0.0000 0.0000 7.5075
Sr Pr Ag Pd
4 4 4 4
Cartesian
0.0000 0.0000 0.0000 Sr
0.0000 3.7538 3.7538 Sr
3.7538 0.0000 3.7538 Sr
3.7538 3.7538 0.0000 Sr
0.0000 0.0000 3.7538 Pr
0.0000 3.7538 0.0000 Pr
3.7538 0.0000 0.0000 Pr
3.7538 3.7538 3.7538 Pr
1.8769 1.8769 1.8769 Ag
1.8769 5.6306 5.6306 Ag
5.6306 1.8769 5.6306 Ag
5.6306 5.6306 1.8769 Ag
1.8769 1.8769 5.6306 Pd
1.8769 5.6306 1.8769 Pd
5.6306 1.8769 1.8769 Pd
5.6306 5.6306 5.6306 Pd
```

Calculated formation energy ... -0.42 eV per atom
Crystal system ... cubic
Calculated density ... 6.95 g/cm³

---

Record 5
A geometry-optimized TbPrAgPd structure, computed with GGA-PBE.

Cell and atoms, written as POSCAR:
```
TbPrAgPd
1.0
7.3082 0.0000 0.0000
0.0000 7.3082 0.0000
0.0000 0.0000 7.3082
Tb Pr Ag Pd
4 4 4 4
Cartesian
0.0000 0.0000 0.0000 Tb
0.0000 3.6541 3.6541 Tb
3.6541 0.0000 3.6541 Tb
3.6541 3.6541 0.0000 Tb
0.0000 0.0000 3.6541 Pr
0.0000 3.6541 0.0000 Pr
3.6541 0.0000 0.0000 Pr
3.6541 3.6541 3.6541 Pr
1.8271 1.8271 5.4812 Ag
1.8271 5.4812 1.8271 Ag
5.4812 1.8271 1.8271 Ag
5.4812 5.4812 5.4812 Ag
1.8271 1.8271 1.8271 Pd
1.8271 5.4812 5.4812 Pd
5.4812 1.8271 5.4812 Pd
5.4812 5.4812 1.8271 Pd
```

Calculated formation energy ... -0.52 eV per atom
Crystal system ... cubic
Calculated density ... 8.75 g/cm³

---

Record 6
A geometry-optimized TbPrAgPd structure, computed with GGA-PBE.

Cell and atoms, written as POSCAR:
```
TbPrAgPd
1.0
4.7899 0.0000 0.0000
0.0000 3.8534 0.0000
0.0000 0.0000 10.9335
Tb Pr Ag Pd
2 2 2 2
Cartesian
0.0000 0.0000 0.0000 Tb
0.0000 1.9267 5.4668 Tb
2.3950 0.0000 7.8856 Pr
2.3950 1.9267 2.4188 Pr
0.0000 0.0000 3.1030 Ag
0.0000 1.9267 8.5698 Ag
2.3950 0.0000 4.8840 Pd
2.3950 1.9267 10.3508 Pd
```

Calculated formation energy ... -0.53 eV per atom
Crystal system ... orthorhombic
Calculated density ... 8.46 g/cm³

---

Record 7
A geometry-optimized PrTlAgPd structure, computed with GGA-PBE.

Cell and atoms, written as POSCAR:
```
PrTlAgPd
1.0
7.1327 0.0000 0.0000
0.0000 7.1327 0.0000
0.0000 0.0000 7.1327
Pr Tl Ag Pd
4 4 4 4
Cartesian
0.0000 0.0000 0.0000 Pr
0.0000 3.5664 3.5664 Pr
3.5664 0.0000 3.5664 Pr
3.5664 3.5664 0.0000 Pr
0.0000 0.0000 3.5664 Tl
0.0000 3.5664 0.0000 Tl
3.5664 0.0000 0.0000 Tl
3.5664 3.5664 3.5664 Tl
1.7832 1.7832 5.3495 Ag
1.7832 5.3495 1.7832 Ag
5.3495 1.7832 1.7832 Ag
5.3495 5.3495 5.3495 Ag
1.7832 1.7832 1.7832 Pd
1.7832 5.3495 5.3495 Pd
5.3495 1.7832 5.3495 Pd
5.3495 5.3495 1.7832 Pd
```

Calculated formation energy ... -0.37 eV per atom
Crystal system ... cubic
Calculated density ... 10.24 g/cm³

---

Record 8
A geometry-optimized PrYAgPd structure, computed with GGA-PBE.

Cell and atoms, written as POSCAR:
```
PrYAgPd
1.0
4.7945 0.0000 0.0000
0.0000 3.8492 0.0000
0.0000 0.0000 10.9143
Pr Y Ag Pd
2 2 2 2
Cartesian
0.0000 0.0000 0.0000 Pr
0.0000 1.9246 5.4571 Pr
2.3972 0.0000 3.0427 Y
2.3972 1.9246 8.4998 Y
2.3972 0.0000 6.1366 Ag
2.3972 1.9246 0.6795 Ag
0.0000 0.0000 7.9107 Pd
0.0000 1.9246 2.4535 Pd
```

Calculated formation energy ... -0.54 eV per atom
Crystal system ... orthorhombic
Calculated density ... 7.32 g/cm³

---

Number 1: Fermi-level density of states 6.31 states/eV/f.u.. Number 2: Fermi-level density of states 3.45 states/eV/f.u.. Number 3: Fermi-level density of states 3.02 states/eV/f.u.. Number 4: Fermi-level density of states 4.19 states/eV/f.u.. Number 5: Fermi-level density of states 2.70 states/eV/f.u.. Number 6: Fermi-level density of states 2.81 states/eV/f.u.. Number 7: Fermi-level density of states 3.75 states/eV/f.u.. Number 8: Fermi-level density of states 2.69 states/eV/f.u..